Record 1
ScPd3Pt | PBE-GGA | relaxed

Values from the calculation:
- distance to the lowest polymorph of the same formula (meV per atom) = 1236
- ΔH_f (0 K) (kJ/mol of atoms) = 55.7
- magnetic moment (μB/f.u.) = 0.0

Cell lengths 4.8611, 4.8611, 4.8611 Å; angles 90.00, 90.00, 90.00 degrees
Last column: nearest neighbours and their distance in Å.
Space group Pm-3m (No. 221)
Symmetry-distinct sites (fractional):
Sc  0.0000  0.0000  0.0000  12 Pd 3.44
Pd  0.0000  0.5000  0.5000  2 Pt 2.43
Pt  0.5000  0.5000  0.5000  6 Pd 2.43

Record 2
Sc3PdPt | PBE-GGA | relaxed

Values from the calculation:
- distance to the lowest polymorph of the same formula (meV per atom) = 0
- ΔH_f (0 K) (kJ/mol of atoms) = -75.0
- magnetic moment (μB/f.u.) = 0.0

Cell lengths 4.1309, 6.4990, 7.8861 Å; angles 90.00, 90.00, 90.00 degrees
Last column: nearest neighbours and their distance in Å.
Space group Pmmn (No. 59, origin choice 2)
Symmetry-distinct sites (fractional):
Sc  0.2500  0.0070  0.1722  3 Pt 2.70-2.72, 2 Pd 2.86
Sc  0.2500  0.2500  0.5448  2 Pd 2.70, 1 Pt 2.74
Pd  0.2500  0.7500  0.6755  6 Sc 2.70-2.86
Pt  0.2500  0.2500  0.8920  7 Sc 2.70-2.74

Record 3
ScPdPt | PBE-GGA | relaxed

Values from the calculation:
- distance to the lowest polymorph of the same formula (meV per atom) = 0
- ΔH_f (0 K) (kJ/mol of atoms) = -97.6
- magnetic moment (μB/f.u.) = 0.0

Cell lengths 4.5576, 4.5576, 5.5696 Å; angles 90.00, 90.00, 120.00 degrees
Last column: nearest neighbours and their distance in Å.
Space group P6_3/mmc (No. 194)
Symmetry-distinct sites (fractional):
Sc  0.3333  0.6667  0.2500  5 Pd 2.63-2.78
Pd  0.3333  0.6667  0.7500  5 Sc 2.63-2.78
Pt  0.0000  0.0000  0.0000  2 Pt 2.78, 6 Sc 2.98, 6 Pd 2.98

Record 4
ScPdPt3 | PBE-GGA | relaxed

Values from the calculation:
- distance to the lowest polymorph of the same formula (meV per atom) = 0
- ΔH_f (0 K) (kJ/mol of atoms) = -55.9
- magnetic moment (μB/f.u.) = 0.0

Cell lengths 17.4573, 2.9187, 6.5920 Å; angles 90.00, 96.02, 90.00 degrees
Last column: nearest neighbours and their distance in Å.
Space group C2/m (No. 12)
Symmetry-distinct sites (fractional):
Sc  0.1770  0.0000  0.2859  6 Pt 2.71-2.96, 2 Pd 2.83, 2 Sc 2.92
Pd  0.0801  0.5000  0.9946  7 Pt 2.79-2.89, 3 Pd 2.80-2.92, 2 Sc 2.83
Pt  0.0187  0.0000  0.2997  1 Sc 2.77, 7 Pt 2.78-2.96, 4 Pd 2.79-2.86
Pt  0.1164  0.5000  0.5765  8 Pt 2.70-2.96, 2 Sc 2.71, 1 Pd 2.89
Pt  0.2066  0.0000  0.8520  6 Pt 2.70-2.92, 3 Sc 2.73-2.96, 2 Pd 2.89

Record 5
ScPd8Pt2 | PBE-GGA | relaxed

Values from the calculation:
- distance to the lowest polymorph of the same formula (meV per atom) = 192
- ΔH_f (0 K) (kJ/mol of atoms) = 7.8
- magnetic moment (μB/f.u.) = 0.0

Cell lengths 9.9101, 9.0133, 4.6979 Å; angles 90.00, 105.34, 90.00 degrees
Last column: nearest neighbours and their distance in Å.
Space group C2/m (No. 12)
Symmetry-distinct sites (fractional):
Sc  0.0000  0.0000  0.0000  4 Pt 2.61-2.85, 6 Pd 2.63-2.68
Pd  0.0766  0.5000  0.2911  1 Pt 2.66, 7 Pd 2.74-2.88
Pd  0.0848  0.2488  0.7880  4 Pd 2.63-2.93, 1 Pt 2.64, 1 Sc 2.68
Pd  0.2248  0.5000  0.8746  5 Pd 2.63-2.88, 1 Sc 2.63, 2 Pt 2.65-2.67
Pt  0.1452  0.0000  0.5510  2 Sc 2.61-2.85, 5 Pd 2.64-2.67, 1 Pt 2.79

Record 6
Sc5PdPt4 | PBE-GGA | relaxed

Values from the calculation:
- ΔH_f (0 K) (kJ/mol of atoms) = -113.4
- magnetic moment (μB/f.u.) = 0.0

Cell lengths 3.2468, 3.2468, 17.0274 Å; angles 90.00, 90.00, 90.00 degrees
Last column: nearest neighbours and their distance in Å.
Space group P4/mmm (No. 123)
Symmetry-distinct sites (fractional):
Sc  0.0000  0.0000  0.0000  8 Pt 2.86
Sc  0.0000  0.0000  0.1998  8 Pt 2.85-2.86
Sc  0.0000  0.0000  0.3990  4 Pt 2.85, 4 Pd 2.87
Pd  0.5000  0.5000  0.5000  8 Sc 2.87
Pt  0.5000  0.5000  0.1002  8 Sc 2.85-2.86
Pt  0.5000  0.5000  0.3002  8 Sc 2.85-2.86